## Tl2TeI2Cl4 (GGA-PBE)

Data for an optimized crystal structure of Tl2TeI2Cl4.

Its volume is 316 Å³ per cell. As for the uncorrected formation energy: -0.6479 eV/atom. As for the total energy: -2.6880 eV/atom.

Cell lengths 7.7393, 7.7393, 7.7393 Å; angles 86.32, 122.14, 122.14 degrees
With the nearest neighbours (Å) after each atom.
Positions (direct):
I1 0.0000 0.7376 0.7376  1 Te 2.96
Cl1 0.0000 0.7586 0.2414  1 Te 2.56
Tl1 0.5000 0.2500 0.7500  4 I 3.75, 8 Cl 3.87
Te1 0.0000 0.0000 0.0000  4 Cl 2.56
Tl2 0.5000 0.7500 0.2500  4 I 3.75, 8 Cl 3.87
I2 0.0000 0.2624 0.2624  1 Te 2.96
Cl2 0.5173 0.7586 0.7586  1 Te 2.56
Cl3 0.0000 0.2414 0.7586  1 Te 2.56
Cl4 0.4827 0.2414 0.2414  1 Te 2.56